Density functional theory data (PBE+U) for ZrMo2F after structural relaxation.

Values from the calculation:
Its final energy is -5.2338 eV/atom. As for the offset from the most stable computed form: 0.3018 eV/atom. The volume comes out at 19.27 A^3/atom.

Geometry as CIF:
```
data_ZrMo2F
_chemical_formula_sum 'Zr4 Mo8 F4'
_cell_length_a 6.756
_cell_length_b 6.756
_cell_length_c 6.756
_cell_angle_alpha 90.00
_cell_angle_beta 90.00
_cell_angle_gamma 90.00
_space_group_name_H-M_alt 'F m -3 m'
_space_group_IT_number 225
_space_group_name_Hall '-F 4 2 3'
loop_
_atom_site_label
_atom_site_fract_x
_atom_site_fract_y
_atom_site_fract_z
_atom_site_occupancy
Zr1 0.000 0.000 0.000 1
Mo1 0.250 0.250 0.250 1
F1 0.000 0.000 0.500 1
```